1.
# PBE-GGA BaNi2Pt, optimized geometry
data_BaNi2Pt
_chemical_formula_sum 'Ba1 Ni2 Pt1'
_cell_length_a 4.618
_cell_length_b 4.177
_cell_length_c 4.936
_cell_angle_alpha 90.00
_cell_angle_beta 98.74
_cell_angle_gamma 90.00
_symmetry_space_group_name_H-M 'P 1 m 1'
_symmetry_Int_Tables_number 6
loop_
_symmetry_equiv_pos_as_xyz
'x,y,z'
'x,-y,z'
loop_
_atom_site_label
_atom_site_type_symbol
_atom_site_fract_x
_atom_site_fract_y
_atom_site_fract_z
Ba1 Ba 0.000 0.000 0.000
Ni1 Ni 0.273 0.500 0.568
Ni2 Ni 0.497 0.000 0.501
Pt1 Pt 0.762 0.500 0.451
# - DOS(E_F): 0.920 states/eV per atom

2.
# PBE-GGA CeGdHoTh, optimized geometry
data_CeGdHoTh
_chemical_formula_sum 'Ce4 Gd4 Ho4 Th4'
_cell_length_a 7.981
_cell_length_b 7.981
_cell_length_c 7.981
_cell_angle_alpha 90.00
_cell_angle_beta 90.00
_cell_angle_gamma 90.00
_symmetry_space_group_name_H-M 'F -4 3 m'
_symmetry_Int_Tables_number 216
_symmetry_space_group_name_Hall 'F -4 2 3'
loop_
_atom_site_label
_atom_site_type_symbol
_atom_site_fract_x
_atom_site_fract_y
_atom_site_fract_z
Ce1 Ce 0.000 0.000 0.000
Gd1 Gd 0.250 0.250 0.750
Ho1 Ho 0.000 0.000 0.500
Th1 Th 0.250 0.250 0.250
# - DOS(E_F): 2.849 states/eV per atom

3.
# PBE-GGA KRe2Tc, optimized geometry
data_KRe2Tc
_chemical_formula_sum 'K4 Re8 Tc4'
_cell_length_a 6.416
_cell_length_b 6.416
_cell_length_c 6.416
_cell_angle_alpha 90.00
_cell_angle_beta 90.00
_cell_angle_gamma 90.00
_symmetry_space_group_name_H-M 'F m -3 m'
_symmetry_Int_Tables_number 225
_symmetry_space_group_name_Hall '-F 4 2 3'
loop_
_atom_site_label
_atom_site_type_symbol
_atom_site_fract_x
_atom_site_fract_y
_atom_site_fract_z
K1 K 0.000 0.000 0.000
Re1 Re 0.250 0.250 0.250
Tc1 Tc 0.000 0.000 0.500
# - DOS(E_F): 0.967 states/eV per atom

4.
# PBE-GGA Ca2Pu3Pt4, optimized geometry
data_Ca2Pu3Pt4
_chemical_formula_sum 'Ca4 Pu6 Pt8'
_cell_length_a 7.761
_cell_length_b 7.726
_cell_length_c 7.567
_cell_angle_alpha 90.00
_cell_angle_beta 110.08
_cell_angle_gamma 90.00
_symmetry_space_group_name_H-M 'P 1 21/c 1'
_symmetry_Int_Tables_number 14
loop_
_symmetry_equiv_pos_as_xyz
'x,y,z'
'-x,-y,-z'
'-x,y+1/2,-z+1/2'
'x,-y+1/2,z+1/2'
loop_
_atom_site_label
_atom_site_type_symbol
_atom_site_fract_x
_atom_site_fract_y
_atom_site_fract_z
Ca1 Ca 0.189 0.175 0.065
Pu1 Pu 0.244 0.665 0.242
Pu2 Pu 0.500 0.000 0.500
Pt1 Pt 0.085 0.540 0.853
Pt2 Pt 0.499 0.131 0.869
# - DOS(E_F): 3.231 states/eV per atom

5.
# PBE-GGA MgAlPb2, optimized geometry
data_MgAlPb2
_chemical_formula_sum 'Mg2 Al2 Pb4'
_cell_length_a 3.701
_cell_length_b 5.556
_cell_length_c 10.298
_cell_angle_alpha 90.00
_cell_angle_beta 90.00
_cell_angle_gamma 90.00
_symmetry_space_group_name_H-M 'C m m 2'
_symmetry_Int_Tables_number 35
loop_
_symmetry_equiv_pos_as_xyz
'x,y,z'
'-x,-y,z'
'-x,y,z'
'x,-y,z'
'x+1/2,y+1/2,z'
'-x+1/2,-y+1/2,z'
'-x+1/2,y+1/2,z'
'x+1/2,-y+1/2,z'
loop_
_atom_site_label
_atom_site_type_symbol
_atom_site_fract_x
_atom_site_fract_y
_atom_site_fract_z
Mg1 Mg 0.000 0.000 0.000
Al1 Al 0.000 0.500 0.214
Pb1 Pb 0.000 0.000 0.450
Pb2 Pb 0.000 0.500 0.745
# - DOS(E_F): 0.459 states/eV per atom

6.
# PBE-GGA Sc2PaRh, optimized geometry
data_Sc2PaRh
_chemical_formula_sum 'Sc2 Pa1 Rh1'
_cell_length_a 3.192
_cell_length_b 3.192
_cell_length_c 8.140
_cell_angle_alpha 90.00
_cell_angle_beta 90.00
_cell_angle_gamma 90.00
_symmetry_space_group_name_H-M 'P 4/m m m'
_symmetry_Int_Tables_number 123
_symmetry_space_group_name_Hall '-P 4 2'
loop_
_atom_site_label
_atom_site_type_symbol
_atom_site_fract_x
_atom_site_fract_y
_atom_site_fract_z
Sc1 Sc 0.000 0.000 0.200
Pa1 Pa 0.500 0.500 0.500
Rh1 Rh 0.500 0.500 0.000
# - DOS(E_F): 1.283 states/eV per atom

7.
# PBE-GGA NaMg3Cd12, optimized geometry
data_NaMg3Cd12
_chemical_formula_sum 'Na1 Mg3 Cd12'
_cell_length_a 4.468
_cell_length_b 4.468
_cell_length_c 17.944
_cell_angle_alpha 90.00
_cell_angle_beta 90.00
_cell_angle_gamma 90.00
_symmetry_space_group_name_H-M 'P 4/m m m'
_symmetry_Int_Tables_number 123
_symmetry_space_group_name_Hall '-P 4 2'
loop_
_atom_site_label
_atom_site_type_symbol
_atom_site_fract_x
_atom_site_fract_y
_atom_site_fract_z
Na1 Na 0.000 0.000 0.000
Mg1 Mg 0.000 0.000 0.253
Mg2 Mg 0.000 0.000 0.500
Cd1 Cd 0.000 0.500 0.130
Cd2 Cd 0.000 0.500 0.377
Cd3 Cd 0.500 0.500 0.000
Cd4 Cd 0.500 0.500 0.254
Cd5 Cd 0.500 0.500 0.500
# - DOS(E_F): 0.348 states/eV per atom

8.
# PBE-GGA Ca2TeW, optimized geometry
data_Ca2TeW
_chemical_formula_sum 'Ca2 Te1 W1'
_cell_length_a 3.906
_cell_length_b 3.906
_cell_length_c 6.938
_cell_angle_alpha 90.00
_cell_angle_beta 90.00
_cell_angle_gamma 90.00
_symmetry_space_group_name_H-M 'P 4/m m m'
_symmetry_Int_Tables_number 123
_symmetry_space_group_name_Hall '-P 4 2'
loop_
_atom_site_label
_atom_site_type_symbol
_atom_site_fract_x
_atom_site_fract_y
_atom_site_fract_z
Ca1 Ca 0.000 0.000 0.247
Te1 Te 0.500 0.500 0.500
W1 W 0.500 0.500 0.000
# - DOS(E_F): 0.803 states/eV per atom
# - ΔE_f (raw): 0.259 eV per atom

9.
# PBE-GGA LiZnGa, optimized geometry
data_LiZnGa
_chemical_formula_sum 'Li1 Zn1 Ga1'
_cell_length_a 4.3638
_cell_length_b 4.3638
_cell_length_c 2.9672
_cell_angle_alpha 90.00
_cell_angle_beta 90.00
_cell_angle_gamma 120.00
_symmetry_space_group_name_H-M 'P 3 m 1'
_symmetry_Int_Tables_number 156
loop_
_symmetry_equiv_pos_as_xyz
'x,y,z'
'-y,x-y,z'
'-x+y,-x,z'
'-y,-x,z'
'-x+y,y,z'
'x,x-y,z'
loop_
_atom_site_label
_atom_site_type_symbol
_atom_site_fract_x
_atom_site_fract_y
_atom_site_fract_z
Li1 Li 0.0000 0.0000 0.0000
Zn1 Zn 0.3333 0.6667 0.5006
Ga1 Ga 0.6667 0.3333 0.5024
# - DOS(E_F): 0.094 states/eV per atom

10.
# PBE-GGA BaInBi3, optimized geometry
data_BaInBi3
_chemical_formula_sum 'Ba1 In1 Bi3'
_cell_length_a 6.403
_cell_length_b 6.403
_cell_length_c 6.403
_cell_angle_alpha 90.00
_cell_angle_beta 90.00
_cell_angle_gamma 90.00
_symmetry_space_group_name_H-M 'P m -3 m'
_symmetry_Int_Tables_number 221
_symmetry_space_group_name_Hall '-P 4 2 3'
loop_
_atom_site_label
_atom_site_type_symbol
_atom_site_fract_x
_atom_site_fract_y
_atom_site_fract_z
Ba1 Ba 0.000 0.000 0.000
In1 In 0.500 0.500 0.500
Bi1 Bi 0.000 0.000 0.500
# - DOS(E_F): 0.812 states/eV per atom

11.
# PBE-GGA CsNa2Cu2Br6, optimized geometry
data_CsNa2Cu2Br6
_chemical_formula_sum 'Cs1 Na2 Cu2 Br6'
_cell_length_a 7.878
_cell_length_b 7.904
_cell_length_c 8.331
_cell_angle_alpha 116.96
_cell_angle_beta 113.59
_cell_angle_gamma 92.45
_symmetry_space_group_name_H-M 'P -1'
_symmetry_Int_Tables_number 2
loop_
_symmetry_equiv_pos_as_xyz
'x,y,z'
'-x,-y,-z'
loop_
_atom_site_label
_atom_site_type_symbol
_atom_site_fract_x
_atom_site_fract_y
_atom_site_fract_z
Cs1 Cs 0.000 0.000 0.000
Na1 Na 0.029 0.694 0.358
Cu1 Cu 0.438 0.305 0.716
Br1 Br 0.233 0.651 0.111
Br2 Br 0.239 0.423 0.519
Br3 Br 0.260 0.077 0.743
# - DOS(E_F): 0.443 states/eV per atom
# - ΔE_f (raw): -0.989 eV per atom

12.
# PBE-GGA OsRuC3, optimized geometry
data_OsRuC3
_chemical_formula_sum 'Os1 Ru1 C3'
_cell_length_a 3.952
_cell_length_b 3.952
_cell_length_c 3.952
_cell_angle_alpha 90.00
_cell_angle_beta 90.00
_cell_angle_gamma 90.00
_symmetry_space_group_name_H-M 'P m -3 m'
_symmetry_Int_Tables_number 221
_symmetry_space_group_name_Hall '-P 4 2 3'
loop_
_atom_site_label
_atom_site_type_symbol
_atom_site_fract_x
_atom_site_fract_y
_atom_site_fract_z
Os1 Os 0.000 0.000 0.000
Ru1 Ru 0.500 0.500 0.500
C1 C 0.000 0.000 0.500
# - DOS(E_F): 0.777 states/eV per atom

13.
# PBE-GGA Ca2PmDy, optimized geometry
data_Ca2PmDy
_chemical_formula_sum 'Ca6 Pm3 Dy3'
_cell_length_a 3.7190
_cell_length_b 3.7190
_cell_length_c 36.8689
_cell_angle_alpha 90.00
_cell_angle_beta 90.00
_cell_angle_gamma 120.00
_symmetry_space_group_name_H-M 'R 3 m'
_symmetry_Int_Tables_number 160
_symmetry_space_group_name_Hall 'R 3 -2"'
loop_
_atom_site_label
_atom_site_type_symbol
_atom_site_fract_x
_atom_site_fract_y
_atom_site_fract_z
Ca1 Ca 0.0000 0.0000 0.0000
Ca2 Ca 0.0000 0.0000 0.4225
Pm1 Pm 0.0000 0.0000 0.5805
Dy1 Dy 0.0000 0.0000 0.8391
# - DOS(E_F): 1.494 states/eV per atom

14.
# PBE-GGA ErBeRu, optimized geometry
data_ErBeRu
_chemical_formula_sum 'Er1 Be1 Ru1'
_cell_length_a 3.9710
_cell_length_b 3.9710
_cell_length_c 3.7233
_cell_angle_alpha 90.00
_cell_angle_beta 90.00
_cell_angle_gamma 120.00
_symmetry_space_group_name_H-M 'P -6 m 2'
_symmetry_Int_Tables_number 187
_symmetry_space_group_name_Hall 'P -6 2'
loop_
_atom_site_label
_atom_site_type_symbol
_atom_site_fract_x
_atom_site_fract_y
_atom_site_fract_z
Er1 Er 0.0000 0.0000 0.0000
Be1 Be 0.3333 0.6667 0.5000
Ru1 Ru 0.6667 0.3333 0.5000
# - DOS(E_F): 0.672 states/eV per atom

15.
# PBE-GGA Li3ZnSe, optimized geometry
data_Li3ZnSe
_chemical_formula_sum 'Li3 Zn1 Se1'
_cell_length_a 4.830
_cell_length_b 4.830
_cell_length_c 4.830
_cell_angle_alpha 90.00
_cell_angle_beta 90.00
_cell_angle_gamma 90.00
_symmetry_space_group_name_H-M 'P m -3 m'
_symmetry_Int_Tables_number 221
_symmetry_space_group_name_Hall '-P 4 2 3'
loop_
_atom_site_label
_atom_site_type_symbol
_atom_site_fract_x
_atom_site_fract_y
_atom_site_fract_z
Li1 Li 0.000 0.000 0.500
Zn1 Zn 0.500 0.500 0.500
Se1 Se 0.000 0.000 0.000
# - DOS(E_F): 0.643 states/eV per atom
# - ΔE_f (raw): -0.498 eV per atom

16.
# PBE-GGA InSn4Hg2, optimized geometry
data_InSn4Hg2
_chemical_formula_sum 'In2 Sn8 Hg4'
_cell_length_a 4.098
_cell_length_b 28.488
_cell_length_c 3.365
_cell_angle_alpha 90.00
_cell_angle_beta 90.00
_cell_angle_gamma 90.00
_symmetry_space_group_name_H-M 'C m m m'
_symmetry_Int_Tables_number 65
_symmetry_space_group_name_Hall '-C 2 2'
loop_
_atom_site_label
_atom_site_type_symbol
_atom_site_fract_x
_atom_site_fract_y
_atom_site_fract_z
In1 In 0.000 0.000 0.000
Sn1 Sn 0.000 0.145 0.500
Sn2 Sn 0.000 0.292 0.000
Hg1 Hg 0.000 0.435 0.500
# - DOS(E_F): 0.430 states/eV per atom

17.
# PBE-GGA Sc4TlRh, optimized geometry
data_Sc4TlRh
_chemical_formula_sum 'Sc16 Tl4 Rh4'
_cell_length_a 15.639
_cell_length_b 5.634
_cell_length_c 6.645
_cell_angle_alpha 90.00
_cell_angle_beta 107.99
_cell_angle_gamma 90.00
_symmetry_space_group_name_H-M 'C 1 2/c 1'
_symmetry_Int_Tables_number 15
loop_
_symmetry_equiv_pos_as_xyz
'x,y,z'
'-x,-y,-z'
'-x,y,-z+1/2'
'x,-y,z+1/2'
'x+1/2,y+1/2,z'
'-x+1/2,-y+1/2,-z'
'-x+1/2,y+1/2,-z+1/2'
'x+1/2,-y+1/2,z+1/2'
loop_
_atom_site_label
_atom_site_type_symbol
_atom_site_fract_x
_atom_site_fract_y
_atom_site_fract_z
Sc1 Sc 0.085 0.130 0.463
Sc2 Sc 0.183 0.365 0.121
Tl1 Tl 0.000 0.388 0.750
Rh1 Rh 0.250 0.250 0.500
# - DOS(E_F): 1.089 states/eV per atom

18.
# PBE-GGA BeNbAg, optimized geometry
data_BeNbAg
_chemical_formula_sum 'Be4 Nb4 Ag4'
_cell_length_a 9.503
_cell_length_b 3.359
_cell_length_c 6.809
_cell_angle_alpha 90.00
_cell_angle_beta 125.91
_cell_angle_gamma 90.00
_symmetry_space_group_name_H-M 'C 1 2/m 1'
_symmetry_Int_Tables_number 12
loop_
_symmetry_equiv_pos_as_xyz
'x,y,z'
'-x,-y,-z'
'-x,y,-z'
'x,-y,z'
'x+1/2,y+1/2,z'
'-x+1/2,-y+1/2,-z'
'-x+1/2,y+1/2,-z'
'x+1/2,-y+1/2,z'
loop_
_atom_site_label
_atom_site_type_symbol
_atom_site_fract_x
_atom_site_fract_y
_atom_site_fract_z
Be1 Be 0.123 0.000 0.162
Nb1 Nb 0.096 0.500 0.859
Ag1 Ag 0.172 0.000 0.579
# - DOS(E_F): 0.631 states/eV per atom

19.
PmCd4Ir | PBE-GGA | optimized geometry

Geometry as CIF:
```
data_PmCd4Ir
_chemical_formula_sum 'Pm4 Cd16 Ir4'
_cell_length_a 7.967
_cell_length_b 7.967
_cell_length_c 7.967
_cell_angle_alpha 90.00
_cell_angle_beta 90.00
_cell_angle_gamma 90.00
_symmetry_space_group_name_H-M 'F -4 3 m'
_symmetry_Int_Tables_number 216
_symmetry_space_group_name_Hall 'F -4 2 3'
loop_
_atom_site_label
_atom_site_type_symbol
_atom_site_fract_x
_atom_site_fract_y
_atom_site_fract_z
Pm1 Pm 0.000 0.000 0.000
Cd1 Cd 0.124 0.124 0.624
Ir1 Ir 0.250 0.250 0.250
```

20.
# PBE-GGA ScReP2N, optimized geometry
data_ScReP2N
_chemical_formula_sum 'Sc1 Re1 P2 N1'
_cell_length_a 4.410
_cell_length_b 4.410
_cell_length_c 3.784
_cell_angle_alpha 90.00
_cell_angle_beta 90.00
_cell_angle_gamma 90.00
_symmetry_space_group_name_H-M 'P 4/m m m'
_symmetry_Int_Tables_number 123
_symmetry_space_group_name_Hall '-P 4 2'
loop_
_atom_site_label
_atom_site_type_symbol
_atom_site_fract_x
_atom_site_fract_y
_atom_site_fract_z
Sc1 Sc 0.000 0.000 0.000
Re1 Re 0.500 0.500 0.000
P1 P 0.000 0.500 0.500
N1 N 0.500 0.500 0.500
# - DOS(E_F): 0.453 states/eV per atom
# - ΔE_f (raw): 0.162 eV per atom

| no. | E_tot (eV for the cell shown) | size of the total moment (μB/cell) |
| --- | --- | --- |
| 1 | -19.7 | 0.000 |
| 2 | -124.8 | 39.299 |
| 3 | -119.3 | 0.000 |
| 4 | -157.0 | 32.954 |
| 5 | -24.3 | 0.000 |
| 6 | -31.2 | 0.605 |
| 7 | -18.1 | 0.000 |
| 8 | -19.1 | 3.355 |
| 9 | -6.9 | 0.000 |
| 10 | -12.9 | 0.000 |
| 11 | -32.6 | 1.068 |
| 12 | -37.1 | 1.392 |
| 13 | -39.5 | 0.002 |
| 14 | -18.5 | 0.000 |
| 15 | -13.0 | 0.000 |
| 16 | -37.8 | 0.000 |
| 17 | -147.4 | 1.322 |
| 18 | -65.7 | 0.000 |
| 19 | -70.6 | 0.000 |
| 20 | -37.1 | 0.000 |